A plane-wave DFT calculation with PBE-GGA was carried out for crystalline MnTeS at its relaxed geometry.

Structure (extended XYZ):
```
12
Lattice="13.612 0.000 0.000 0.000 3.388 0.000 -0.309 0.000 6.183" Properties=species:S:1:pos:R:3 pbc="T T T"
Mn 0.000 0.000 0.000
Mn -0.154 1.694 3.092
Mn 6.652 0.000 3.092
Mn 6.806 1.694 0.000
Te 1.679 0.000 2.121
Te 4.819 1.694 4.062
Te 8.485 1.694 2.121
Te 11.625 0.000 4.062
S 0.930 1.694 5.157
S 5.567 0.000 1.026
S 7.736 0.000 5.157
S 12.374 1.694 1.026
```

**Formation energy (no corrections)**: -0.3812 eV per atom
**Total magnetization**: 11.19 μB/cell
**E above lowest polymorph**: 0.0 meV per atom